Record 1
Computed, not measured: a relaxed structure of LiIrF4 at the PBE level of DFT.

a b c (Å): 6.398 6.398 4.748
angles (deg): 90.00 90.00 90.00
Space group I-4 (No. 82)
Asymmetric unit:
Li 0.000 0.000 0.000
Ir 0.000 0.500 0.250
F 0.093 0.215 0.245

Properties
Crystal system   tetragonal
E   -4.74 eV/atom


Record 2
Computed, not measured: a relaxed structure of Y3BOs at the PBE level of DFT.

a b c (Å): 4.863 4.863 4.863
angles (deg): 90.00 90.00 90.00
Space group Pm-3m (No. 221)
Asymmetric unit:
Y 0.000 0.000 0.500
B 0.000 0.000 0.000
Os 0.500 0.500 0.500

Properties
Energy of formation   0.359 eV per atom
Crystal system   cubic


Record 3
Computed, not measured: a relaxed structure of Sr2LaPt at the PBE level of DFT.

a b c (Å): 4.1024 4.1024 31.9050
angles (deg): 90.00 90.00 120.00
Space group R-3m (No. 166, hexagonal axes)
Asymmetric unit:
Sr 0.0000 0.0000 0.2233
La 0.0000 0.0000 0.0000
Pt 0.0000 0.0000 0.5000

Properties
Energy of formation   -0.287 eV per atom
Crystal system   trigonal


Record 4
Computed, not measured: a relaxed structure of Na3TeH at the PBE level of DFT.

a b c (Å): 12.139 11.471 7.471
angles (deg): 90.00 90.11 90.00
Space group C2/c (No. 15)
Asymmetric unit:
Na 0.100 0.123 0.133
Na 0.100 0.377 0.867
Na 0.250 0.149 0.622
Te 0.000 0.123 0.750
Te 0.000 0.377 0.250
H 0.250 0.151 0.298

Properties
Crystal system   monoclinic
E   -2.62 eV/atom


Record 5
Computed, not measured: a relaxed structure of Ba2BePbO5 at the PBE level of DFT.

a b c (Å): 3.511 14.691 11.368
angles (deg): 90.00 90.00 90.00
Space group Cmc2_1 (No. 36)
Asymmetric unit:
Ba 0.000 0.108 0.000
Ba 0.000 0.128 0.650
Be 0.000 0.439 0.727
Pb 0.000 0.192 0.344
O 0.000 0.048 0.302
O 0.000 0.302 0.974
O 0.000 0.327 0.709
O 0.000 0.335 0.329
O 0.000 0.497 0.614

Properties
Crystal system   orthorhombic
E   -6.03 eV/atom


Record 6
Computed, not measured: a relaxed structure of LiMgInSb at the PBE level of DFT.

a b c (Å): 7.216 7.216 7.216
angles (deg): 90.00 90.00 90.00
Space group F-43m (No. 216)
Asymmetric unit:
Li 0.000 0.000 0.000
Mg 0.000 0.000 0.500
In 0.250 0.250 0.250
Sb 0.250 0.250 0.750

Properties
Crystal system   cubic
E   -2.81 eV/atom


Record 7
Computed, not measured: a relaxed structure of NdPaBiPb at the PBE level of DFT.

a b c (Å): 7.784 7.784 7.784
angles (deg): 90.00 90.00 90.00
Space group F-43m (No. 216)
Asymmetric unit:
Nd 0.000 0.000 0.000
Pa 0.000 0.000 0.500
Bi 0.250 0.250 0.250
Pb 0.250 0.250 0.750

Properties
Energy of formation   -0.197 eV per atom
Crystal system   cubic


Record 8
Computed, not measured: a relaxed structure of TaBeSe2 at the PBE level of DFT.

a b c (Å): 3.3461 3.3461 20.2322
angles (deg): 90.00 90.00 120.00
Space group R-3m (No. 166, hexagonal axes)
Asymmetric unit:
Ta 0.0000 0.0000 0.0000
Be 0.0000 0.0000 0.5000
Se 0.0000 0.0000 0.2394

Properties
Crystal system   trigonal
E   -5.82 eV/atom


Record 9
Computed, not measured: a relaxed structure of Ba3YCd at the PBE level of DFT.

a b c (Å): 6.560 6.560 6.560
angles (deg): 90.00 90.00 90.00
Space group Pm-3m (No. 221)
Asymmetric unit:
Ba 0.000 0.000 0.500
Y 0.500 0.500 0.500
Cd 0.000 0.000 0.000

Properties
Energy of formation   0.338 eV per atom
Crystal system   cubic


Record 10
Computed, not measured: a relaxed structure of SiHg2Os at the PBE level of DFT.

a b c (Å): 3.931 3.931 4.616
angles (deg): 90.00 90.00 90.00
Space group P4/mmm (No. 123)
Asymmetric unit:
Si 0.000 0.000 0.000
Hg 0.000 0.500 0.500
Os 0.500 0.500 0.000

Properties
Crystal system   tetragonal
E   -3.44 eV/atom